Entry 1:
This record from Alexandria via LeMat-Bulk describes a geometry-optimized Ti2InAu structure. The functional is GGA-PBE.

Cell: 7.478 7.478 6.013 Å, 51.55 51.55 90.00°
Fractional coordinates of all 8 atoms:
1 Ti 0.875 0.900 0.750
2 Ti 0.375 0.350 0.750
3 Ti 0.100 0.625 0.250
4 Ti 0.650 0.125 0.250
5 In 0.500 0.500 0.000
6 In 0.250 0.750 0.500
7 Au 0.000 0.000 0.000
8 Au 0.750 0.250 0.500

Calculated values
Its total energy is -5.3448 eV per atom. Its total magnetization is 0.001 μB per atom. The value obtained for the formation energy is 0.11 eV/atom.


Entry 2:
This record from Alexandria via LeMat-Bulk describes a geometry-optimized Ti6In3Au structure. The functional is GGA-PBE.

Cell: 5.140 9.185 9.185 Å, 118.24 90.00 90.00°
Fractional coordinates of all 20 atoms:
1 Ti 0.547 0.944 0.056
2 Ti 0.300 0.000 0.499
3 Ti 0.548 0.258 0.405
4 Ti 0.049 0.713 0.287
5 Ti 0.549 0.287 0.713
6 Ti 0.300 0.501 0.000
7 Ti 0.800 0.000 0.501
8 Ti 0.047 0.056 0.944
9 Ti 0.048 0.405 0.258
10 Ti 0.548 0.595 0.742
11 Ti 0.048 0.742 0.595
12 Ti 0.800 0.499 0.000
13 In 0.548 0.931 0.743
14 In 0.048 0.743 0.931
15 In 0.548 0.601 0.399
16 In 0.548 0.257 0.069
17 In 0.048 0.399 0.601
18 In 0.048 0.069 0.257
19 Au 0.050 0.215 0.785
20 Au 0.550 0.785 0.215

Calculated values
Its total energy is -5.9076 eV per atom. Its total magnetization is 0.022 μB per atom. The value obtained for the formation energy is -0.02 eV/atom.


Entry 3:
This record from Alexandria via LeMat-Bulk describes a geometry-optimized TiInAu2 structure. The functional is GGA-PBE.

Cell: 3.990 4.329 4.329 Å, 90.00 90.00 90.00°
Fractional coordinates of all 4 atoms:
1 Ti 0.500 0.500 0.500
2 In 0.500 0.000 0.000
3 Au 0.000 0.000 0.500
4 Au 0.000 0.500 0.000

Calculated values
Its total energy is -4.5146 eV per atom. Its total magnetization is 0.188 μB per atom. The value obtained for the formation energy is -0.22 eV/atom.


Entry 4:
This record from Alexandria via LeMat-Bulk describes a geometry-optimized Ti4In3Au structure. The functional is GGA-PBE.

Cell: 4.978 6.244 9.919 Å, 90.00 90.00 90.00°
Fractional coordinates of all 16 atoms:
1 Ti 0.565 0.896 0.741
2 Ti 0.064 0.885 0.500
3 Ti 0.565 0.896 0.259
4 Ti 0.065 0.104 0.759
5 Ti 0.064 0.894 0.000
6 Ti 0.065 0.104 0.241
7 Ti 0.564 0.115 0.000
8 Ti 0.564 0.106 0.500
9 In 0.565 0.364 0.257
10 In 0.065 0.636 0.243
11 In 0.064 0.358 0.500
12 In 0.565 0.364 0.743
13 In 0.564 0.642 0.000
14 In 0.065 0.636 0.757
15 Au 0.564 0.641 0.500
16 Au 0.064 0.359 0.000

Calculated values
Its total energy is -5.4528 eV per atom. Its total magnetization is 0.248 μB per atom. The value obtained for the formation energy is -0.07 eV/atom. Its distance to the lowest polymorph of the same formula is 138 meV/atom.